Entry 1:
Material: Li5Ga4Ge
Method: DFT, PBE
State: optimized geometry

Its space group is P4/mmm.

```
Li5Ga4Ge
1.0
3.183 0.000 0.000
0.000 3.183 0.000
0.000 0.000 15.292
Li Ga Ge
5 4 1
Direct
0.500 0.500 0.101
0.500 0.500 0.305
0.500 0.500 0.500
0.500 0.500 0.695
0.500 0.500 0.899
0.000 0.000 0.205
0.000 0.000 0.404
0.000 0.000 0.596
0.000 0.000 0.795
0.000 0.000 0.000
```

Entry 2:
Material: LiGaGe
Method: DFT, PBE
State: optimized geometry

Its space group is Imm2.

```
LiGaGe
1.0
-3.622 2.174 -0.565
-6.555 -11.374 -1.737
-5.641 -4.740 1.853
Ge Ga Li
3 3 3
Direct
0.250 0.750 0.500
0.282 0.115 0.435
0.282 0.450 0.435
0.515 0.515 0.970
0.021 0.343 0.959
0.021 0.698 0.959
0.517 0.181 0.965
0.517 0.854 0.965
0.032 0.032 0.936
```

| no. | energy of formation (kJ/mol of formula units) |
| --- | --- |
| 1 | -248 |
| 2 | -45 |